Sm5Ag2Au: optimized geometry, PBE-GGA.

Computed properties:
- Crystal system: tetragonal
- DFT formation energy: -0.29 eV/atom
- Calculated density: 8.6 g cm⁻³

Cell lengths 9.607, 9.607, 9.607 Å; angles 134.15, 134.15, 66.86 degrees
Fractional coordinates of all 16 atoms:
Sm 0.000 0.000 0.000
Sm 0.014 0.514 0.836
Sm 0.178 0.014 0.500
Sm 0.322 0.822 0.836
Sm 0.486 0.322 0.500
Sm 0.500 0.500 0.000
Sm 0.514 0.678 0.500
Sm 0.678 0.178 0.164
Sm 0.822 0.986 0.500
Sm 0.986 0.486 0.164
Ag 0.130 0.370 0.500
Ag 0.370 0.870 0.240
Ag 0.630 0.130 0.760
Ag 0.870 0.630 0.500
Au 0.250 0.250 0.000
Au 0.750 0.750 0.000

***

Sm2Ag3Au: optimized geometry, PBE-GGA.

Computed properties:
- Crystal system: orthorhombic
- DFT formation energy: -0.39 eV/atom
- Calculated density: 9.8 g cm⁻³

Cell lengths 9.588, 9.015, 5.918 Å; angles 76.81, 66.26, 36.93 degrees
Fractional coordinates of all 12 atoms:
Sm 0.248 0.752 0.752
Sm 0.250 0.250 0.250
Sm 0.750 0.750 0.750
Sm 0.752 0.248 0.248
Ag 0.169 0.666 0.334
Ag 0.334 0.334 0.666
Ag 0.334 0.831 0.169
Ag 0.666 0.169 0.831
Ag 0.666 0.666 0.334
Ag 0.831 0.334 0.666
Au 0.167 0.167 0.833
Au 0.833 0.833 0.167

***

Sm3Ag2Au8: optimized geometry, PBE-GGA.

Computed properties:
- Crystal system: trigonal
- DFT formation energy: -0.36 eV/atom
- Calculated density: 12.0 g cm⁻³

Cell lengths 12.394, 12.394, 12.394 Å; angles 25.45, 25.45, 25.45 degrees
Fractional coordinates of all 13 atoms:
Sm 0.000 0.000 0.000
Sm 0.240 0.240 0.240
Sm 0.760 0.760 0.760
Ag 0.396 0.396 0.396
Ag 0.604 0.604 0.604
Au 0.199 0.704 0.704
Au 0.296 0.296 0.801
Au 0.296 0.801 0.296
Au 0.320 0.320 0.320
Au 0.680 0.680 0.680
Au 0.704 0.199 0.704
Au 0.704 0.704 0.199
Au 0.801 0.296 0.296

***

Sm3AgAu: optimized geometry, PBE-GGA.

Computed properties:
- Crystal system: orthorhombic
- Offset from the most stable computed form: 0.0 meV per atom
- DFT formation energy: -0.42 eV/atom
- Calculated density: 9.3 g cm⁻³

Cell lengths 10.357, 10.357, 5.200 Å; angles 90.00, 90.00, 150.96 degrees
Fractional coordinates of all 10 atoms:
Sm 0.064 0.936 0.750
Sm 0.250 0.750 0.750
Sm 0.434 0.566 0.750
Sm 0.566 0.434 0.250
Sm 0.750 0.250 0.250
Sm 0.936 0.064 0.250
Ag 0.157 0.843 0.250
Ag 0.843 0.157 0.750
Au 0.340 0.660 0.250
Au 0.660 0.340 0.750

***

SmAg3Au: optimized geometry, PBE-GGA.

Computed properties:
- Crystal system: tetragonal
- DFT formation energy: 0.05 eV/atom
- Calculated density: 8.4 g cm⁻³

Cell lengths 10.258, 10.258, 10.258 Å; angles 150.15, 150.15, 42.72 degrees
Fractional coordinates of all 10 atoms:
Sm 0.179 0.179 0.000
Sm 0.821 0.821 0.000
Ag 0.376 0.130 0.754
Ag 0.376 0.622 0.246
Ag 0.378 0.624 0.754
Ag 0.572 0.072 0.500
Ag 0.870 0.624 0.246
Ag 0.928 0.428 0.500
Au 0.250 0.750 0.500
Au 0.500 0.500 0.000

***

Sm2Ag2Au: optimized geometry, PBE-GGA.

Computed properties:
- Crystal system: monoclinic
- Offset from the most stable computed form: 22.9 meV per atom
- DFT formation energy: -0.44 eV/atom
- Calculated density: 9.6 g cm⁻³

Cell lengths 5.717, 5.717, 12.028 Å; angles 108.12, 108.12, 41.49 degrees
Fractional coordinates of all 10 atoms:
Sm 0.000 0.000 0.164
Sm 0.000 0.000 0.836
Sm 0.182 0.182 0.610
Sm 0.818 0.818 0.390
Ag 0.350 0.350 0.961
Ag 0.460 0.460 0.605
Ag 0.540 0.540 0.395
Ag 0.650 0.650 0.039
Au 0.298 0.298 0.194
Au 0.702 0.702 0.806

***

Sm2Ag3Au: optimized geometry, PBE-GGA.

Computed properties:
- Crystal system: orthorhombic
- DFT formation energy: -0.39 eV/atom
- Calculated density: 9.8 g cm⁻³

Cell lengths 3.548, 4.812, 8.186 Å; angles 90.00, 90.00, 90.00 degrees
Fractional coordinates of all 6 atoms:
Sm 0.000 0.000 0.000
Sm 0.000 0.500 0.478
Ag 0.500 0.000 0.660
Ag 0.500 0.500 0.152
Ag 0.500 0.500 0.818
Au 0.500 0.000 0.322

***

Sm4AgAu2: optimized geometry, PBE-GGA.

Computed properties:
- Crystal system: trigonal
- Offset from the most stable computed form: 67.9 meV per atom
- DFT formation energy: -0.39 eV/atom
- Calculated density: 9.0 g cm⁻³

Cell lengths 10.042, 10.042, 10.042 Å; angles 28.49, 28.49, 28.49 degrees
Fractional coordinates of all 7 atoms:
Sm 0.119 0.119 0.119
Sm 0.296 0.296 0.296
Sm 0.704 0.704 0.704
Sm 0.881 0.881 0.881
Ag 0.500 0.500 0.500
Au 0.401 0.401 0.401
Au 0.599 0.599 0.599

***

Sm4Ag3Au: optimized geometry, PBE-GGA.

Computed properties:
- Crystal system: orthorhombic
- Offset from the most stable computed form: 12.6 meV per atom
- DFT formation energy: -0.40 eV/atom
- Calculated density: 8.9 g cm⁻³

Cell lengths 3.843, 4.868, 11.185 Å; angles 90.00, 90.00, 90.00 degrees
Fractional coordinates of all 8 atoms:
Sm 0.000 0.000 0.000
Sm 0.000 0.500 0.276
Sm 0.500 0.000 0.493
Sm 0.500 0.500 0.778
Ag 0.000 0.000 0.716
Ag 0.000 0.500 0.557
Ag 0.500 0.500 0.056
Au 0.500 0.000 0.218

***

Sm8Ag2Au: optimized geometry, PBE-GGA.

Computed properties:
- Crystal system: monoclinic
- DFT formation energy: -0.21 eV/atom
- Calculated density: 8.3 g cm⁻³

Cell lengths 9.502, 9.502, 7.017 Å; angles 105.11, 105.11, 32.17 degrees
Fractional coordinates of all 11 atoms:
Sm 0.025 0.025 0.275
Sm 0.201 0.201 0.827
Sm 0.335 0.335 0.519
Sm 0.409 0.409 0.044
Sm 0.591 0.591 0.956
Sm 0.665 0.665 0.481
Sm 0.799 0.799 0.173
Sm 0.975 0.975 0.725
Ag 0.183 0.183 0.233
Ag 0.817 0.817 0.767
Au 0.500 0.500 0.500

***

Sm2Ag2Au15: optimized geometry, PBE-GGA.

Computed properties:
- Crystal system: trigonal
- DFT formation energy: -0.25 eV/atom
- Calculated density: 15.1 g cm⁻³

Cell lengths 7.332, 7.332, 7.332 Å; angles 81.26, 81.26, 81.26 degrees
Fractional coordinates of all 19 atoms:
Sm 0.154 0.154 0.154
Sm 0.846 0.846 0.846
Ag 0.401 0.401 0.401
Ag 0.599 0.599 0.599
Au 0.000 0.500 0.500
Au 0.144 0.144 0.657
Au 0.144 0.657 0.144
Au 0.195 0.500 0.805
Au 0.195 0.805 0.500
Au 0.343 0.856 0.856
Au 0.500 0.000 0.500
Au 0.500 0.195 0.805
Au 0.500 0.500 0.000
Au 0.500 0.805 0.195
Au 0.657 0.144 0.144
Au 0.805 0.195 0.500
Au 0.805 0.500 0.195
Au 0.856 0.343 0.856
Au 0.856 0.856 0.343

***

SmAgTe3Au: optimized geometry, PBE-GGA.

Computed properties:
- Crystal system: monoclinic
- Calculated density: 8.2 g cm⁻³
- E_form (uncorrected): -0.580 eV/atom

Cell lengths 7.169, 4.327, 11.014 Å; angles 90.00, 96.96, 90.00 degrees
Fractional coordinates of all 12 atoms:
Sm 0.235 0.250 0.315
Sm 0.765 0.750 0.685
Ag 0.324 0.750 0.880
Ag 0.676 0.250 0.120
Te 0.052 0.250 0.831
Te 0.323 0.750 0.533
Te 0.409 0.750 0.148
Te 0.591 0.250 0.852
Te 0.677 0.250 0.467
Te 0.948 0.750 0.169
Au 0.087 0.250 0.583
Au 0.913 0.750 0.417

***

SmThAgAu: optimized geometry, PBE-GGA.

Computed properties:
- Crystal system: cubic
- Offset from the most stable computed form: 21.9 meV per atom
- DFT formation energy: -0.39 eV/atom
- Calculated density: 11.2 g cm⁻³

Cell lengths 5.249, 5.249, 5.249 Å; angles 60.00, 60.00, 60.00 degrees
Fractional coordinates of all 4 atoms:
Sm 0.000 0.000 0.000
Th 0.500 0.500 0.500
Ag 0.750 0.750 0.750
Au 0.250 0.250 0.250

***

SmThAgAu: optimized geometry, PBE-GGA.

Computed properties:
- Crystal system: tetragonal
- Offset from the most stable computed form: 0.0 meV per atom
- DFT formation energy: -0.41 eV/atom
- Calculated density: 11.2 g cm⁻³

Cell lengths 3.644, 3.644, 7.682 Å; angles 90.00, 90.00, 90.00 degrees
Fractional coordinates of all 4 atoms:
Sm 0.000 0.000 0.000
Th 0.000 0.000 0.511
Ag 0.500 0.500 0.245
Au 0.500 0.500 0.765

***

SmTlAgAu: optimized geometry, PBE-GGA.

Computed properties:
- Crystal system: cubic
- DFT formation energy: -0.40 eV/atom
- Calculated density: 12.0 g cm⁻³

Cell lengths 5.051, 5.051, 5.051 Å; angles 60.00, 60.00, 60.00 degrees
Fractional coordinates of all 4 atoms:
Sm 0.000 0.000 0.000
Tl 0.500 0.500 0.500
Ag 0.250 0.250 0.250
Au 0.750 0.750 0.750

***

SmTmAgAu: optimized geometry, PBE-GGA.

Computed properties:
- Crystal system: tetragonal
- Offset from the most stable computed form: 0.0 meV per atom
- DFT formation energy: -0.59 eV/atom
- Calculated density: 10.9 g cm⁻³

Cell lengths 3.591, 3.591, 7.399 Å; angles 90.00, 90.00, 90.00 degrees
Fractional coordinates of all 4 atoms:
Sm 0.000 0.000 0.000
Tm 0.000 0.000 0.511
Ag 0.500 0.500 0.275
Au 0.500 0.500 0.734

***

SmTmAgAu: optimized geometry, PBE-GGA.

Computed properties:
- Crystal system: cubic
- Offset from the most stable computed form: 18.0 meV per atom
- DFT formation energy: -0.57 eV/atom
- Calculated density: 10.8 g cm⁻³

Cell lengths 5.134, 5.134, 5.134 Å; angles 60.00, 60.00, 60.00 degrees
Fractional coordinates of all 4 atoms:
Sm 0.000 0.000 0.000
Tm 0.500 0.500 0.500
Ag 0.750 0.750 0.750
Au 0.250 0.250 0.250

***

SmYAgAu: optimized geometry, PBE-GGA.

Computed properties:
- Crystal system: cubic
- Offset from the most stable computed form: 7.9 meV per atom
- DFT formation energy: -0.56 eV/atom
- Calculated density: 9.2 g cm⁻³

Cell lengths 5.173, 5.173, 5.173 Å; angles 60.00, 60.00, 60.00 degrees
Fractional coordinates of all 4 atoms:
Sm 0.000 0.000 0.000
Y 0.500 0.500 0.500
Ag 0.750 0.750 0.750
Au 0.250 0.250 0.250

***

SmYAgAu: optimized geometry, PBE-GGA.

Computed properties:
- Crystal system: tetragonal
- Offset from the most stable computed form: 0.0 meV per atom
- DFT formation energy: -0.57 eV/atom
- Calculated density: 9.2 g cm⁻³

Cell lengths 3.636, 3.636, 7.395 Å; angles 90.00, 90.00, 90.00 degrees
Fractional coordinates of all 4 atoms:
Sm 0.000 0.000 0.000
Y 0.000 0.000 0.489
Ag 0.500 0.500 0.734
Au 0.500 0.500 0.256

***

SmZn2AgAu5: optimized geometry, PBE-GGA.

Computed properties:
- Crystal system: tetragonal
- DFT formation energy: -0.23 eV/atom
- Calculated density: 12.4 g cm⁻³

Cell lengths 4.787, 4.787, 8.009 Å; angles 90.00, 90.00, 90.00 degrees
Fractional coordinates of all 9 atoms:
Sm 0.000 0.000 0.000
Zn 0.500 0.500 0.351
Zn 0.500 0.500 0.649
Ag 0.000 0.000 0.500
Au 0.000 0.500 0.242
Au 0.000 0.500 0.758
Au 0.500 0.000 0.242
Au 0.500 0.000 0.758
Au 0.500 0.500 0.000

***

SmZn3AgAu: optimized geometry, PBE-GGA.

Computed properties:
- Crystal system: orthorhombic
- DFT formation energy: -0.19 eV/atom
- Calculated density: 9.2 g cm⁻³

Cell lengths 7.328, 7.328, 5.871 Å; angles 90.00, 90.00, 131.78 degrees
Fractional coordinates of all 12 atoms:
Sm 0.196 0.804 0.750
Sm 0.804 0.196 0.250
Zn 0.205 0.205 0.000
Zn 0.205 0.205 0.500
Zn 0.374 0.626 0.250
Zn 0.626 0.374 0.750
Zn 0.795 0.795 0.000
Zn 0.795 0.795 0.500
Ag 0.409 0.591 0.750
Ag 0.591 0.409 0.250
Au 0.165 0.835 0.250
Au 0.835 0.165 0.750

***

Sm2Zn3AgAu4: optimized geometry, PBE-GGA.

Computed properties:
- Crystal system: tetragonal
- DFT formation energy: -0.46 eV/atom
- Calculated density: 11.2 g cm⁻³

Cell lengths 4.126, 4.126, 12.120 Å; angles 90.00, 90.00, 90.00 degrees
Fractional coordinates of all 10 atoms:
Sm 0.000 0.500 0.245
Sm 0.500 0.000 0.755
Zn 0.000 0.500 0.866
Zn 0.500 0.000 0.134
Zn 0.500 0.500 0.500
Ag 0.000 0.000 0.500
Au 0.000 0.000 0.000
Au 0.000 0.500 0.656
Au 0.500 0.000 0.344
Au 0.500 0.500 0.000

***

SmZn2AgAu2: optimized geometry, PBE-GGA.

Computed properties:
- Crystal system: trigonal
- DFT formation energy: -0.46 eV/atom
- Calculated density: 11.0 g cm⁻³

Cell lengths 4.549, 4.549, 6.566 Å; angles 90.00, 90.00, 120.00 degrees
Fractional coordinates of all 6 atoms:
Sm 0.000 0.000 0.000
Zn 0.333 0.667 0.691
Zn 0.667 0.333 0.309
Ag 0.000 0.000 0.500
Au 0.333 0.667 0.263
Au 0.667 0.333 0.737

***

SmZn5AgAu2: optimized geometry, PBE-GGA.

Computed properties:
- Crystal system: tetragonal
- DFT formation energy: -0.05 eV/atom
- Calculated density: 8.9 g cm⁻³

Cell lengths 4.897, 4.897, 7.583 Å; angles 90.00, 90.00, 90.00 degrees
Fractional coordinates of all 9 atoms:
Sm 0.000 0.000 0.000
Zn 0.000 0.500 0.270
Zn 0.000 0.500 0.730
Zn 0.500 0.000 0.270
Zn 0.500 0.000 0.730
Zn 0.500 0.500 0.000
Ag 0.000 0.000 0.500
Au 0.500 0.500 0.325
Au 0.500 0.500 0.675

***

In μB/atom, the M_tot values for the records above are, in order, 0.000 0.000 0.000 0.000 0.000 0.000 0.000 0.000 0.000 0.000 0.000 0.000 0.000 0.000 0.000 0.000 0.000 0.000 0.000 0.000 0.000 0.000 0.000 0.000.